(1)
# BSeS3

A relaxed structure of BSeS3 (GGA-PBE, Alexandria).

The structure belongs to space group Pm-3m (No. 221); the cell edges are 4.208, 4.208 and 4.208 Å and the angles 90.00°, 90.00° and 90.00°. Symmetry generates all atoms from B at (0.000, 0.000, 0.000), Se at (0.500, 0.500, 0.500) and S at (0.000, 0.000, 0.500).

Its volume is 14.91 A^3/atom. Its density is 4143 kg/m3. The energy above the most stable polymorph in this dataset is 0.000 kcal/mol of atoms.



(2)
# Mg7Pb5

A relaxed structure of Mg7Pb5 (GGA-PBE, Alexandria).

The structure belongs to space group C2/m (No. 12); the cell edges are 16.777, 3.421 and 11.651 Å and the angles 90.00°, 102.65° and 90.00°. Symmetry generates all atoms from Mg at (0.000, 0.000, 0.000), Mg at (0.069, 0.500, 0.266), Mg at (0.155, 0.000, 0.521), Mg at (0.206, 0.500, 0.088), Pb at (0.000, 0.500, 0.500), Pb at (0.110, 0.500, 0.842) and Pb at (0.225, 0.000, 0.305).

Its volume is 27.19 A^3/atom. The formation energy from the elements is 16 meV per atom. Its density is 6139 kg/m3. The energy above the most stable polymorph in this dataset is 0.515 kcal/mol of atoms.